# Ho2Cd2Au

A geometry-optimized Ho2Cd2Au structure (PBE-GGA, the Alexandria database).

a = 3.4420 Å, b = 3.5218 Å, c = 10.4814 Å
α = 80.33°, β = 90.00°, γ = 90.00°
Fractional positions:
Cd  0.0000  0.1934  0.6131
Cd  0.0000  0.8066  0.3869
Au  0.0000  0.0000  0.0000
Ho  0.5000  0.4110  0.1779
Ho  0.5000  0.5890  0.8221

Summary:
DOS at the Fermi energy ... 3.03 states/eV per cell
Density ... 9.965 g cm⁻³
Calculated formation energy ... -0.42 eV/atom